Density functional theory data (GGA-PBE) for crystalline K2TlCo at its relaxed geometry.

Unit cell a=4.091 b=4.913 c=6.638 alpha=90.00 beta=90.00 gamma=90.00
Atoms (fractional coordinates):
K 0.000 0.000 0.988
K 0.000 0.000 0.512
Co 0.500 0.500 0.750
Tl 0.500 0.500 0.250

Computed properties:
Offset from the most stable computed form, eV per atom: 0.2885
D(E_F), states/eV/f.u.: 3.2



Density functional theory data (GGA-PBE) for crystalline K2TlCo at its relaxed geometry.

Unit cell a=6.405 b=6.405 c=6.405 alpha=136.29 beta=136.29 gamma=63.54
Atoms (fractional coordinates):
K 0.500 0.500 0.000
K 0.000 0.000 0.000
Co 0.750 0.250 0.500
Tl 0.250 0.750 0.500

Computed properties:
Offset from the most stable computed form, eV per atom: 0.3060
D(E_F), states/eV/f.u.: 5.3



Density functional theory data (GGA-PBE) for crystalline K2TlCo at its relaxed geometry.

Unit cell a=3.439 b=3.439 c=10.828 alpha=90.00 beta=90.00 gamma=90.00
Atoms (fractional coordinates):
Co 0.500 0.500 0.750
Tl 0.500 0.500 0.250
K 0.000 0.000 0.532
K 0.000 0.000 0.968

Computed properties:
Offset from the most stable computed form, eV per atom: 0.3195
D(E_F), states/eV/f.u.: 6.5



Density functional theory data (GGA-PBE) for crystalline KTlCo at its relaxed geometry.

Unit cell a=5.304 b=5.304 c=5.304 alpha=60.00 beta=60.00 gamma=60.00
Atoms (fractional coordinates):
Co 0.500 0.500 0.500
Tl 0.000 0.000 0.000
K 0.750 0.750 0.750

Computed properties:
Offset from the most stable computed form, eV per atom: 0.7637
D(E_F), states/eV/f.u.: 8.9



Density functional theory data (GGA-PBE) for crystalline KTlCo2 at its relaxed geometry.

Unit cell a=4.141 b=4.141 c=7.058 alpha=72.88 beta=72.88 gamma=60.03
Atoms (fractional coordinates):
Co 0.693 0.693 0.921
Co 0.025 0.025 0.924
Tl 0.294 0.294 0.117
K 0.487 0.487 0.538

Computed properties:
D(E_F), states/eV/f.u.: 3.2



Density functional theory data (GGA-PBE) for crystalline K2TlCo at its relaxed geometry.

Unit cell a=3.720 b=3.734 c=10.145 alpha=90.00 beta=90.00 gamma=90.00
Atoms (fractional coordinates):
Tl 0.000 0.000 0.598
Co 0.500 0.500 0.648
K 0.500 0.500 0.329
K 0.000 0.000 0.925

Computed properties:
Offset from the most stable computed form, eV per atom: 0.0164
D(E_F), states/eV/f.u.: 4.8



Density functional theory data (GGA-PBE) for crystalline K2TlCo at its relaxed geometry.

Unit cell a=4.360 b=4.360 c=12.274 alpha=79.77 beta=79.77 gamma=90.00
Atoms (fractional coordinates):
Tl 0.000 0.000 0.000
Tl 0.750 0.250 0.500
Co 0.500 0.500 0.000
Co 0.250 0.750 0.500
K 0.375 0.386 0.750
K 0.875 0.864 0.750
K 0.136 0.625 0.250
K 0.614 0.125 0.250

Computed properties:
Offset from the most stable computed form, eV per atom: 0.5088
D(E_F), states/eV/f.u.: 4.5



Density functional theory data (GGA-PBE) for crystalline K2TlCo at its relaxed geometry.

Unit cell a=4.708 b=5.279 c=6.660 alpha=66.66 beta=90.00 gamma=90.00
Atoms (fractional coordinates):
Co 0.500 0.587 0.702
K 0.000 0.972 0.932
K 0.500 0.274 0.326
Tl 0.000 0.668 0.539

Computed properties:
Offset from the most stable computed form, eV per atom: 0.0615
D(E_F), states/eV/f.u.: 3.8



Density functional theory data (GGA-PBE) for crystalline K2TlCo at its relaxed geometry.

Unit cell a=6.507 b=6.507 c=6.507 alpha=138.25 beta=126.00 gamma=70.50
Atoms (fractional coordinates):
Co 0.332 0.832 0.500
Tl 0.429 0.429 0.000
K 0.717 0.217 0.500
K 0.022 0.022 0.000

Computed properties:
Offset from the most stable computed form, eV per atom: 0.0826
D(E_F), states/eV/f.u.: 4.7



Density functional theory data (GGA-PBE) for crystalline KTlCo at its relaxed geometry.

Unit cell a=4.502 b=4.502 c=5.195 alpha=90.00 beta=90.00 gamma=120.00
Atoms (fractional coordinates):
Tl 0.333 0.667 0.833
K 0.667 0.333 0.333
Co 0.000 0.000 0.834

Computed properties:
Offset from the most stable computed form, eV per atom: 0.0906
D(E_F), states/eV/f.u.: 4.2



Density functional theory data (GGA-PBE) for crystalline K2TlCo at its relaxed geometry.

Unit cell a=5.526 b=5.526 c=5.526 alpha=60.00 beta=60.00 gamma=60.00
Atoms (fractional coordinates):
Tl 0.750 0.750 0.750
Co 0.500 0.500 0.500
K 0.250 0.250 0.250
K 0.000 0.000 0.000

Computed properties:
Offset from the most stable computed form, eV per atom: 0.2576
D(E_F), states/eV/f.u.: 6.2



Density functional theory data (GGA-PBE) for crystalline K2TlCo at its relaxed geometry.

Unit cell a=11.749 b=11.749 c=11.749 alpha=17.44 beta=17.44 gamma=17.44
Atoms (fractional coordinates):
K 0.008 0.008 0.008
K 0.492 0.492 0.492
Tl 0.250 0.250 0.250
Co 0.750 0.750 0.750

Computed properties:
Offset from the most stable computed form, eV per atom: 0.3852
D(E_F), states/eV/f.u.: 5.8



Density functional theory data (GGA-PBE) for crystalline KTlCo2 at its relaxed geometry.

Unit cell a=6.017 b=6.017 c=6.017 alpha=151.21 beta=125.25 gamma=63.03
Atoms (fractional coordinates):
K 0.750 0.250 0.500
Tl 0.250 0.750 0.500
Co 0.032 0.032 0.000
Co 0.468 0.468 0.000

Computed properties:
D(E_F), states/eV/f.u.: 7.3



Density functional theory data (GGA-PBE) for crystalline KTlCo2 at its relaxed geometry.

Unit cell a=4.753 b=4.753 c=9.965 alpha=76.20 beta=76.20 gamma=90.00
Atoms (fractional coordinates):
Co 0.875 0.125 0.750
Co 0.875 0.125 0.250
Co 0.875 0.625 0.250
Co 0.375 0.125 0.750
K 0.250 0.750 0.500
K 0.500 0.500 0.000
Tl 0.750 0.250 0.500
Tl 0.000 0.000 0.000

Computed properties:
D(E_F), states/eV/f.u.: 3.2



Density functional theory data (GGA-PBE) for crystalline KTlCo2 at its relaxed geometry.

Unit cell a=3.125 b=3.363 c=8.248 alpha=90.00 beta=90.00 gamma=90.00
Atoms (fractional coordinates):
Co 0.500 0.500 0.146
Co 0.000 0.000 0.072
K 0.000 0.000 0.465
Tl 0.500 0.500 0.817

Computed properties:
D(E_F), states/eV/f.u.: 3.2



Density functional theory data (GGA-PBE) for crystalline KTl4Co at its relaxed geometry.

Unit cell a=6.407 b=6.407 c=6.407 alpha=60.00 beta=60.00 gamma=60.00
Atoms (fractional coordinates):
Tl 0.376 0.376 0.376
Tl 0.376 0.872 0.376
Tl 0.376 0.376 0.872
Tl 0.872 0.376 0.376
K 0.000 0.000 0.000
Co 0.750 0.750 0.750

Computed properties:
D(E_F), states/eV/f.u.: 4.5



Density functional theory data (GGA-PBE) for crystalline K3TlCo at its relaxed geometry.

Unit cell a=6.169 b=6.169 c=6.169 alpha=90.00 beta=90.00 gamma=90.00
Atoms (fractional coordinates):
Co 0.000 0.000 0.000
K 0.000 0.500 0.000
K 0.000 0.000 0.500
K 0.500 0.000 0.000
Tl 0.500 0.500 0.500

Computed properties:
Offset from the most stable computed form, eV per atom: 0.0000
D(E_F), states/eV/f.u.: 17.1



Density functional theory data (GGA-PBE) for crystalline KTlCo2 at its relaxed geometry.

Unit cell a=4.251 b=4.369 c=4.369 alpha=90.00 beta=90.00 gamma=90.00
Atoms (fractional coordinates):
Co 0.000 0.500 0.500
Co 0.000 0.000 0.000
K 0.500 0.500 0.000
Tl 0.500 0.000 0.500

Computed properties:
D(E_F), states/eV/f.u.: 8.6



Density functional theory data (GGA-PBE) for crystalline KTlCo2 at its relaxed geometry.

Unit cell a=5.156 b=5.156 c=2.955 alpha=90.00 beta=90.00 gamma=90.00
Atoms (fractional coordinates):
Co 0.000 0.000 0.000
Co 0.500 0.500 0.000
K 0.500 0.000 0.500
Tl 0.000 0.500 0.500

Computed properties:
D(E_F), states/eV/f.u.: 6.7



Density functional theory data (GGA-PBE) for crystalline KTl2VCo at its relaxed geometry.

Unit cell a=5.167 b=4.700 c=5.167 alpha=90.00 beta=90.00 gamma=90.00
Atoms (fractional coordinates):
K 0.500 0.500 0.500
Co 0.000 0.000 0.000
Tl 0.000 0.000 0.500
Tl 0.500 0.000 0.000
V 0.000 0.500 0.000

Computed properties:
D(E_F), states/eV/f.u.: 4.1



no.,raw total energy (eV/atom),spin magnetization (μB per formula unit),theoretical density (g/cm³)
1,-2.22,1.90,4.25
2,-2.20,1.62,4.58
3,-2.19,1.77,4.43
4,-2.26,1.60,4.76
5,-3.96,3.10,6.08
6,-2.49,1.21,4.02
7,-2.00,0.00,5.02
8,-2.45,1.25,3.73
9,-2.43,1.38,3.90
10,-2.93,1.17,5.51
11,-2.25,1.42,4.75
12,-2.12,1.81,4.46
13,-3.35,3.10,7.07
14,-3.63,3.01,5.66
15,-3.96,3.31,6.92
16,-2.42,1.92,8.17
17,-1.74,0.68,2.69
18,-3.27,2.83,7.39
19,-3.30,3.08,7.64
20,-3.94,2.41,7.38